{
  "formula": "Na2CrB2O6",
  "functional": "PBE+U",
  "state": "relaxed",
  "lattice_angstrom": [[5.028, 0.000, 0.000], [-2.514, 4.355, 0.000], [0.000, 0.000, 5.906]],
  "species": ["Na", "Na", "Cr", "B", "B", "O", "O", "O", "O", "O", "O"],
  "fractional_positions": [[0.333, 0.667, 0.330], [0.667, 0.333, 0.670], [0.000, 0.000, 0.000], [0.333, 0.667, 0.818], [0.667, 0.333, 0.182], [0.114, 0.360, 0.803], [0.247, 0.886, 0.803], [0.360, 0.247, 0.197], [0.640, 0.753, 0.803], [0.753, 0.114, 0.197], [0.886, 0.640, 0.197]],
  "energy_ev_per_atom": -6.828,
  "sg": "P-3, No. 147",
  "crystal_system": "trigonal"
}